[1]
VASP calculation (PBE-GGA) on a relaxed Ga3OsO crystal.

```
5
Lattice="4.7587 0.0000 0.0000 0.0000 4.7587 0.0000 0.0000 0.0000 4.7587" Properties=species:S:1:pos:R:3 pbc="T T T"
Ga 2.3794 0.0000 0.0000
Ga 0.0000 2.3794 0.0000
Ga 0.0000 0.0000 2.3794
O 2.3794 2.3794 2.3794
Os 0.0000 0.0000 0.0000
```

Summary:
For the energy above the most stable polymorph in this dataset, the calculation gives 27.6 kJ/mol of atoms. As for the space group: Pm-3m. The total magnetization is 0.000 μB/f.u. As for the uncorrected formation energy: 0.40 eV per atom.

***

[2]
VASP calculation (PBE-GGA) on a relaxed Ce2SeI crystal.

```
4
Lattice="-2.4089 0.3083 -2.8573 -1.4201 -3.3689 0.8337 -5.0578 3.2747 4.6173" Properties=species:S:1:pos:R:3 pbc="T T T"
Ce -3.9009 2.5257 3.5612
Ce -1.1569 0.7491 1.0562
Se -1.9145 -1.5303 -1.0118
I -4.4434 0.1070 1.2969
```

Summary:
For the energy above the most stable polymorph in this dataset, the calculation gives 17.0 kJ/mol of atoms. As for the space group: P4/mmm. The total magnetization is 3.019 μB/f.u. As for the uncorrected formation energy: -1.12 eV per atom.

***

[3]
VASP calculation (PBE-GGA) on a relaxed Pu2ThGe2 crystal.

```
10
Lattice="-0.1391 -0.9970 -3.6859 -4.2268 -6.6182 1.9496 -6.8931 4.1484 -0.8620" Properties=species:S:1:pos:R:3 pbc="T T T"
Th -2.1829 -3.8076 -0.8682
Th -3.5161 1.5757 -2.2740
Pu -5.9164 0.2046 0.1679
Pu -9.6332 -2.1395 0.9422
Pu -1.4866 -0.3302 0.1454
Pu -5.2035 -2.6743 0.9197
Ge -3.8272 -1.3331 -1.4755
Ge -7.4317 -2.1336 -1.1229
Ge -4.7285 -5.3716 -0.3491
Ge -6.5305 1.9049 -2.2493
```

Summary:
For the energy above the most stable polymorph in this dataset, the calculation gives 0.0 kJ/mol of atoms. As for the space group: P4/mbm. The total magnetization is 10.828 μB/f.u. As for the energy relative to the elements: -463 meV per atom.

***

[4]
VASP calculation (PBE-GGA) on a relaxed Cs9Rb6In crystal.

```
16
Lattice="10.4854 0.0000 -5.8051 -3.2140 9.9807 -5.8051 0.7762 1.0655 13.7741" Properties=species:S:1:pos:R:3 pbc="T T T"
Cs 7.8939 8.0855 -5.7147
Cs 3.6357 4.9903 -5.8051
Cs 5.2063 1.0539 6.5302
Cs 7.2512 3.8607 -2.1483
Cs 2.8414 9.9922 -4.3664
Cs 0.7965 7.1855 4.3122
Cs 5.8490 5.2788 2.9639
Cs 2.1987 5.7674 -0.8000
Cs 0.1538 2.9606 7.8785
Rb -1.2722 7.0257 -4.6346
Rb 8.5437 2.9550 -6.9757
Rb 2.8009 0.9425 -2.2669
Rb 6.5413 8.9785 -0.5570
Rb 4.4705 9.0382 -9.3433
Rb 1.5064 2.0677 2.7209
In 0.0000 0.0000 0.0000
```

Summary:
As for the space group: I4/m. The total magnetization is 0.000 μB/f.u. As for the energy relative to the elements: 19 meV per atom.

***

[5]
VASP calculation (PBE-GGA) on a relaxed CePmTcPd crystal.

```
4
Lattice="4.9848 0.0000 0.0000 2.4924 4.3170 0.0000 2.4924 1.4390 4.0701" Properties=species:S:1:pos:R:3 pbc="T T T"
Tc 4.9848 2.8780 2.0350
Pm 7.4772 4.3170 3.0525
Pd 0.0000 0.0000 0.0000
Ce 2.4924 1.4390 1.0175
```

Summary:
As for the space group: F-43m. The total magnetization is 0.000 μB/f.u. As for the energy relative to the elements: -271 meV per atom.

***

[6]
VASP calculation (PBE-GGA) on a relaxed Ac4Zn3Cu2 crystal.

```
9
Lattice="3.9441 0.0000 -1.0875 -0.6440 7.0470 -2.3356 0.2982 0.0119 8.7776" Properties=species:S:1:pos:R:3 pbc="T T T"
Cu 2.1236 3.2495 0.0058
Cu 1.4748 3.8094 5.3487
Ac 1.7305 6.1094 -1.4198
Ac 0.6066 5.0202 2.2002
Ac 2.9917 2.0387 3.1543
Ac 1.8678 0.9495 6.7742
Zn -0.3220 3.5235 -1.1678
Zn 0.2779 1.7850 1.0079
Zn 3.3204 5.2739 4.3466
```

Summary:
As for the space group: C2/m. The total magnetization is 0.000 μB/f.u. As for the energy relative to the elements: -155 meV per atom.

***

[7]
VASP calculation (PBE-GGA) on a relaxed TiBeVW crystal.

```
4
Lattice="-1.9490 2.2043 3.1223 1.2745 -0.4633 4.0703 2.0648 3.1982 1.9786" Properties=species:S:1:pos:R:3 pbc="T T T"
Ti 0.3476 1.2348 2.2928
V 1.0428 3.7044 6.8783
Be 0.0000 0.0000 0.0000
W 0.6952 2.4696 4.5856
```

Summary:
As for the space group: F-43m. The total magnetization is 0.022 μB/f.u. As for the energy relative to the elements: 36 meV per atom.

***

[8]
VASP calculation (PBE-GGA) on a relaxed Se3SO crystal.

```
5
Lattice="-0.5099 -3.8104 -2.8417 4.4554 -1.3790 1.0496 -1.6563 -2.5364 3.6983" Properties=species:S:1:pos:R:3 pbc="T T T"
Se -0.2550 -1.9052 -1.4208
Se 2.2277 -0.6895 0.5248
Se -0.8281 -1.2682 1.8491
S 0.0000 0.0000 0.0000
O 1.1446 -3.8629 0.9531
```

Summary:
For the energy above the most stable polymorph in this dataset, the calculation gives 36.0 kJ/mol of atoms. As for the space group: Pm-3m. The total magnetization is 0.000 μB/f.u. As for the uncorrected formation energy: 1.22 eV per atom.

***

Question: Number 5 is which compound?
Answer: CePmTcPd